Here is a geometry-optimized K2DyI4 structure from Alexandria via LeMat-Bulk. Energies are from PBE.

Cell and atoms, written as POSCAR:
```
K2DyI4
1.0
-3.0060 3.0060 8.9936
3.0060 -3.0060 8.9936
3.0060 3.0060 -8.9936
K Dy I
2 1 4
direct
0.1355 0.1355 0.0000
0.8645 0.8645 0.0000
0.5000 0.5000 0.0000
0.0000 0.5000 0.5000
0.3284 0.3284 0.0000
0.5000 0.0000 0.5000
0.6716 0.6716 0.0000
```

M_tot in μB/f.u.: 0.53
D(E_F) in states/eV/atom: 0.43
Symmetry: No. 139
ΔE_f (raw) in meV per atom: -1228